First-principles (PBE-GGA) data for a geometry-optimized DyScAgRu structure, as listed in the Alexandria database.

Structure (CIF):
```
data_DyScAgRu
_chemical_formula_sum 'Dy4 Sc4 Ag4 Ru4'
_symmetry_space_group_name_H-M 'F -4 3 m'
_symmetry_Int_Tables_number 216
_symmetry_space_group_name_Hall 'F -4 2 3'
_cell_length_a 6.8259
_cell_length_b 6.8259
_cell_length_c 6.8259
_cell_angle_alpha 90.00
_cell_angle_beta 90.00
_cell_angle_gamma 90.00
loop_
_atom_site_label
_atom_site_fract_x
_atom_site_fract_y
_atom_site_fract_z
Dy1 0.0000 0.0000 0.0000
Sc1 0.0000 0.0000 0.5000
Ag1 0.2500 0.2500 0.7500
Ru1 0.2500 0.2500 0.2500
```

total moment: 0.00 μB per formula unit
uncorrected energy: -6.13 eV per atom
E_form: -0.366 eV per atom